# PrMg2Hg PBE-GGA relaxed
# Energy relative to the lowest polymorph listed for this composition (meV/atom): 65
# M_tot (μB per formula unit): 0.00
# Formation energy from the elements (eV per atom): -0.2282
data_PrMg2Hg
_cell_length_a 4.5989
_cell_length_b 4.5989
_cell_length_c 4.9503
_cell_angle_alpha 90.00
_cell_angle_beta 90.00
_cell_angle_gamma 90.00
_space_group_name_H-M_alt 'P 4/m m m'
_space_group_IT_number 123
_space_group_name_Hall '-P 4 2'
loop_
_atom_site_label
_atom_site_type_symbol
_atom_site_fract_x
_atom_site_fract_y
_atom_site_fract_z
Pr1 Pr 0.0000 0.0000 0.0000
Mg1 Mg 0.0000 0.5000 0.5000
Hg1 Hg 0.5000 0.5000 0.0000

---

# PrMgHg PBE-GGA relaxed
# M_tot (μB per formula unit): 0.23
# Formation energy from the elements (eV per atom): -0.2351
data_PrMgHg
_cell_length_a 7.1190
_cell_length_b 7.1190
_cell_length_c 7.1190
_cell_angle_alpha 90.00
_cell_angle_beta 90.00
_cell_angle_gamma 90.00
_space_group_name_H-M_alt 'F -4 3 m'
_space_group_IT_number 216
_space_group_name_Hall 'F -4 2 3'
loop_
_atom_site_label
_atom_site_type_symbol
_atom_site_fract_x
_atom_site_fract_y
_atom_site_fract_z
Pr1 Pr 0.0000 0.0000 0.0000
Mg1 Mg 0.0000 0.0000 0.5000
Hg1 Hg 0.2500 0.2500 0.2500

---

# Pr2MgHg PBE-GGA relaxed
# Energy relative to the lowest polymorph listed for this composition (meV/atom): 0
# M_tot (μB per formula unit): 0.00
# Formation energy from the elements (eV per atom): -0.2879
data_Pr2MgHg
_cell_length_a 3.9012
_cell_length_b 3.9012
_cell_length_c 7.7027
_cell_angle_alpha 90.00
_cell_angle_beta 90.00
_cell_angle_gamma 90.00
_space_group_name_H-M_alt 'P 4/m m m'
_space_group_IT_number 123
_space_group_name_Hall '-P 4 2'
loop_
_atom_site_label
_atom_site_type_symbol
_atom_site_fract_x
_atom_site_fract_y
_atom_site_fract_z
Pr1 Pr 0.0000 0.0000 0.2487
Mg1 Mg 0.5000 0.5000 0.5000
Hg1 Hg 0.5000 0.5000 0.0000

---

# Pr2Mg16Hg PBE-GGA relaxed
# M_tot (μB per formula unit): 0.00
# Formation energy from the elements (eV per atom): -0.0906
data_Pr2Mg16Hg
_cell_length_a 10.2609
_cell_length_b 10.2609
_cell_length_c 15.2048
_cell_angle_alpha 90.00
_cell_angle_beta 90.00
_cell_angle_gamma 120.00
_space_group_name_H-M_alt 'R 3 m'
_space_group_IT_number 160
_space_group_name_Hall 'R 3 -2"'
loop_
_atom_site_label
_atom_site_type_symbol
_atom_site_fract_x
_atom_site_fract_y
_atom_site_fract_z
Pr1 Pr 0.0000 0.0000 0.0000
Pr2 Pr 0.0000 0.0000 0.3442
Mg1 Mg 0.0000 0.0000 0.5821
Mg2 Mg 0.9999 0.3012 0.6716
Mg3 Mg 0.0052 0.5026 0.8238
Mg4 Mg 0.1687 0.3375 0.5051
Mg5 Mg 0.1719 0.3439 0.8526
Hg1 Hg 0.0000 0.0000 0.7773

---

# Pr6MgHg3 PBE-GGA relaxed
# M_tot (μB per formula unit): 0.00
# Formation energy from the elements (eV per atom): -0.2666
data_Pr6MgHg3
_cell_length_a 9.5307
_cell_length_b 5.4962
_cell_length_c 12.1171
_cell_angle_alpha 90.00
_cell_angle_beta 107.98
_cell_angle_gamma 90.00
_space_group_name_H-M_alt 'P 1 21/m 1'
_space_group_IT_number 11
loop_
_space_group_symop_operation_xyz
'x,y,z'
'-x,-y,-z'
'-x,y+1/2,-z'
'x,-y+1/2,z'
loop_
_atom_site_label
_atom_site_type_symbol
_atom_site_fract_x
_atom_site_fract_y
_atom_site_fract_z
Pr1 Pr 0.0284 0.2500 0.4062
Pr2 Pr 0.1542 0.7500 0.1841
Pr3 Pr 0.2377 0.2500 0.0001
Pr4 Pr 0.3461 0.7500 0.8050
Pr5 Pr 0.3694 0.2500 0.3451
Pr6 Pr 0.4055 0.2500 0.6215
Mg1 Mg 0.4561 0.7500 0.0907
Hg1 Hg 0.0414 0.7500 0.8826
Hg2 Hg 0.1302 0.2500 0.7193
Hg3 Hg 0.2711 0.7500 0.4759

---

# Pr6Mg2Hg PBE-GGA relaxed
# Energy relative to the lowest polymorph listed for this composition (meV/atom): 0
# M_tot (μB per formula unit): 0.00
# Formation energy from the elements (eV per atom): -0.0823
data_Pr6Mg2Hg
_cell_length_a 17.0797
_cell_length_b 3.7154
_cell_length_c 11.7298
_cell_angle_alpha 90.00
_cell_angle_beta 128.95
_cell_angle_gamma 90.00
_space_group_name_H-M_alt 'C 1 2/m 1'
_space_group_IT_number 12
loop_
_space_group_symop_operation_xyz
'x,y,z'
'-x,-y,-z'
'-x,y,-z'
'x,-y,z'
'x+1/2,y+1/2,z'
'-x+1/2,-y+1/2,-z'
'-x+1/2,y+1/2,-z'
'x+1/2,-y+1/2,z'
loop_
_atom_site_label
_atom_site_type_symbol
_atom_site_fract_x
_atom_site_fract_y
_atom_site_fract_z
Pr1 Pr 0.0445 0.0000 0.1871
Pr2 Pr 0.1781 0.5000 0.5399
Pr3 Pr 0.1949 0.5000 0.1009
Mg1 Mg 0.0895 0.5000 0.7412
Hg1 Hg 0.0000 0.0000 0.5000

---

# Pr3Mg7Hg4 PBE-GGA relaxed
# M_tot (μB per formula unit): 0.00
# Formation energy from the elements (eV per atom): -0.3064
data_Pr3Mg7Hg4
_cell_length_a 17.3692
_cell_length_b 4.7649
_cell_length_c 10.3047
_cell_angle_alpha 90.00
_cell_angle_beta 124.77
_cell_angle_gamma 90.00
_space_group_name_H-M_alt 'C 1 2/m 1'
_space_group_IT_number 12
loop_
_space_group_symop_operation_xyz
'x,y,z'
'-x,-y,-z'
'-x,y,-z'
'x,-y,z'
'x+1/2,y+1/2,z'
'-x+1/2,-y+1/2,-z'
'-x+1/2,y+1/2,-z'
'x+1/2,-y+1/2,z'
loop_
_atom_site_label
_atom_site_type_symbol
_atom_site_fract_x
_atom_site_fract_y
_atom_site_fract_z
Pr1 Pr 0.0000 0.0000 0.0000
Pr2 Pr 0.1970 0.5000 0.7031
Mg1 Mg 0.0000 0.0000 0.5000
Mg2 Mg 0.0061 0.5000 0.3054
Mg3 Mg 0.1579 0.0000 0.4270
Mg4 Mg 0.1756 0.5000 0.0189
Hg1 Hg 0.1228 0.0000 0.8390
Hg2 Hg 0.1552 0.5000 0.2672

---

# PrMgHg PBE-GGA relaxed
# M_tot (μB per formula unit): 0.00
# Formation energy from the elements (eV per atom): -0.2519
data_PrMgHg
_cell_length_a 3.6803
_cell_length_b 3.6803
_cell_length_c 11.7556
_cell_angle_alpha 90.00
_cell_angle_beta 90.00
_cell_angle_gamma 90.00
_space_group_name_H-M_alt 'P 4 m m'
_space_group_IT_number 99
loop_
_space_group_symop_operation_xyz
'x,y,z'
'-y,x,z'
'-x,-y,z'
'y,-x,z'
'-x,y,z'
'y,x,z'
'x,-y,z'
'-y,-x,z'
loop_
_atom_site_label
_atom_site_type_symbol
_atom_site_fract_x
_atom_site_fract_y
_atom_site_fract_z
Pr1 Pr 0.0000 0.0000 0.0000
Pr2 Pr 0.5000 0.5000 0.2356
Mg1 Mg 0.0000 0.0000 0.6945
Mg2 Mg 0.5000 0.5000 0.5420
Hg1 Hg 0.0000 0.0000 0.4164
Hg2 Hg 0.5000 0.5000 0.8192

---

What is the formula in the third record?
Pr2MgHg